No. 1
This record from Alexandria describes an optimized crystal structure of Sr2MgAlGa6. The functional is PBE.

Results
symmetry = No. 166
energy = -58.2 eV/cell
density = 4.5 g/cm³

a b c (Å): 6.654 6.654 13.120
angles (deg): 75.31 75.31 60.00
Atoms (fractional coordinates):
Al 0.000 0.000 0.000
Sr 0.720 0.720 0.840
Al 0.500 0.500 0.500
Ga 0.368 0.771 0.090
Ga 0.771 0.771 0.090
Ga 0.671 0.671 0.594
Sr 0.892 0.892 0.324
Ga 0.632 0.229 0.910
Mg 0.425 0.425 0.725
Ga 0.771 0.368 0.090
Ga 0.329 0.329 0.406
Ga 0.329 0.936 0.406
Ga 0.229 0.229 0.910
Mg 0.575 0.575 0.275
Sr 0.108 0.108 0.676
Sr 0.280 0.280 0.160
Ga 0.064 0.671 0.594
Ga 0.936 0.329 0.406
Ga 0.229 0.632 0.910
Ga 0.671 0.064 0.594



No. 2
This record from Alexandria describes an optimized crystal structure of MgUAlGa. The functional is PBE.

Results
symmetry = No. 216
energy = -19.5 eV/cell
density = 7.3 g/cm³

a b c (Å): 4.871 4.871 4.871
angles (deg): 60.00 60.00 60.00
Last column: magnetic moment on the atom in μB.
Atoms (fractional coordinates):
U 0.750 0.750 0.750  2.05
Mg 0.250 0.250 0.250  -0.01
Ga 0.000 0.000 0.000  0.01
Al 0.500 0.500 0.500  0.01



No. 3
This record from Alexandria describes an optimized crystal structure of MgAl2ZnGa. The functional is PBE.

Results
symmetry = No. 107
energy = -13.6 eV/cell
density = 3.8 g/cm³

a b c (Å): 4.017 4.017 6.398
angles (deg): 108.29 108.29 90.00
Atoms (fractional coordinates):
Al 0.253 0.753 0.507
Al 0.753 0.253 0.507
Ga 0.106 0.106 0.211
Mg 0.492 0.492 0.985
Zn 0.895 0.895 0.791



No. 4
This record from Alexandria describes an optimized crystal structure of MgAlZn2Ga. The functional is PBE.

Results
symmetry = No. 63
energy = -21.5 eV/cell
density = 4.6 g/cm³

a b c (Å): 4.094 5.452 8.875
angles (deg): 90.00 90.00 112.05
Atoms (fractional coordinates):
Ga 0.481 0.962 0.250
Al 0.000 0.000 0.000
Zn 0.669 0.339 0.481
Ga 0.519 0.038 0.750
Zn 0.331 0.661 0.519
Mg 0.807 0.614 0.750
Zn 0.331 0.661 0.981
Zn 0.669 0.339 0.019
Al 0.000 0.000 0.500
Mg 0.193 0.386 0.250



No. 5
This record from Alexandria describes an optimized crystal structure of MgAlZnGa. The functional is PBE.

Results
symmetry = No. 47
energy = -9.2 eV/cell
density = 4.0 g/cm³

a b c (Å): 2.781 5.330 5.283
angles (deg): 90.00 90.00 90.00
Atoms (fractional coordinates):
Ga 0.000 0.500 0.000
Al 0.000 0.000 0.000
Zn 0.000 0.000 0.500
Mg 0.500 0.500 0.500



No. 6
This record from Alexandria describes an optimized crystal structure of MgZr2AlGa5. The functional is PBE.

Results
symmetry = No. 140
energy = -75.4 eV/cell
density = 4.9 g/cm³

a b c (Å): 6.946 6.946 9.511
angles (deg): 111.42 111.42 90.00
Atoms (fractional coordinates):
Zr 0.153 0.347 0.000
Ga 0.034 0.534 0.747
Ga 0.286 0.786 0.253
Ga 0.466 0.286 0.253
Al 0.750 0.250 0.500
Ga 0.500 0.500 0.000
Ga 0.214 0.034 0.747
Ga 0.714 0.214 0.747
Zr 0.347 0.847 0.000
Mg 0.250 0.250 0.500
Zr 0.847 0.653 0.000
Ga 0.966 0.466 0.253
Ga 0.000 0.000 0.000
Ga 0.786 0.966 0.253
Mg 0.750 0.750 0.500
Ga 0.534 0.714 0.747
Zr 0.653 0.153 0.000
Al 0.250 0.750 0.500



No. 7
This record from Alexandria describes an optimized crystal structure of Mn4Al7Ga. The functional is PBE.

Results
symmetry = No. 2
energy = -67.4 eV/cell
density = 4.6 g/cm³

a b c (Å): 5.069 6.956 6.925
angles (deg): 76.44 47.60 89.15
Last column: magnetic moment on the atom in μB.
Atoms (fractional coordinates):
Al 0.751 0.950 0.503  -0.04
Mn 0.457 0.727 0.367  2.01
Al 0.043 0.619 0.292  -0.04
Mn 0.769 0.701 0.853  2.29
Al 0.340 0.588 0.789  -0.05
Al 0.249 0.050 0.497  -0.04
Al 0.500 0.000 0.000  -0.04
Al 0.957 0.381 0.708  -0.04
Mn 0.543 0.273 0.633  2.01
Ga 0.000 0.000 0.000  -0.07
Mn 0.231 0.299 0.147  2.29
Al 0.660 0.412 0.211  -0.05



No. 8
This record from Alexandria describes an optimized crystal structure of MnAlGa. The functional is PBE.

Results
symmetry = No. 156
density = 6.0 g/cm³
ΔE to the lowest computed polymorph = 0.2168 eV/atom

a b c (Å): 2.732 4.220 4.220
angles (deg): 120.00 90.00 90.00
Last column: magnetic moment on the atom in μB.
Atoms (fractional coordinates):
Al 0.704 0.667 0.333  -0.05
Ga 0.003 0.000 0.000  -0.08
Mn 0.293 0.333 0.667  2.15